Below is a relaxed structure of Ba2CuW, with properties calculated at the PBE level.

abc: 7.6971 7.6971 7.6971
angles: 103.79 103.79 121.55
Element x y z (fractional)
Ba1 0.0923 0.6250 0.9673
Ba2 0.3750 0.3423 0.4673
Ba3 0.6577 0.1250 0.0327
Ba4 0.8750 0.9077 0.5327
Cu1 0.0000 0.0000 0.0000
Cu2 0.7500 0.2500 0.5000
W1 0.2500 0.7500 0.5000
W2 0.5000 0.5000 0.0000

Computed properties:
As for the energy relative to the lowest polymorph listed for this composition: 0.668 eV per atom. Its formation energy from the elements is 1.48 eV per atom.